# meta-GGA SCAN Tc2MoRh, single point on PBEsol structure
data_Tc2MoRh
_cell_length_a 2.6932
_cell_length_b 2.6932
_cell_length_c 7.8245
_cell_angle_alpha 90.00
_cell_angle_beta 90.00
_cell_angle_gamma 90.00
_space_group_name_H-M_alt 'P 1'
_space_group_IT_number 1
loop_
_space_group_symop_operation_xyz
'x,y,z'
loop_
_atom_site_label
_atom_site_type_symbol
_atom_site_fract_x
_atom_site_fract_y
_atom_site_fract_z
_atom_site_occupancy
Tc1 Tc 0.0000 0.0000 0.2436 1
Tc2 Tc 0.0000 0.0000 0.7564 1
Mo1 Mo 0.5000 0.5000 0.5000 1
Rh1 Rh 0.5000 0.5000 0.0000 1
# Offset from the most stable computed form (meV per atom): 138
# N(E_F) (states/eV/f.u.): 3.9
# DFT formation energy (meV/atom): 73

# meta-GGA SCAN Fe2Rh, single point on PBEsol structure
data_Fe2Rh
_cell_length_a 4.6285
_cell_length_b 4.6285
_cell_length_c 15.0099
_cell_angle_alpha 90.00
_cell_angle_beta 90.00
_cell_angle_gamma 120.00
_space_group_name_H-M_alt 'P 1'
_space_group_IT_number 1
loop_
_space_group_symop_operation_xyz
'x,y,z'
loop_
_atom_site_label
_atom_site_type_symbol
_atom_site_fract_x
_atom_site_fract_y
_atom_site_fract_z
_atom_site_occupancy
Fe1 Fe 0.0000 0.5000 0.0000 1
Fe2 Fe 0.0000 0.5000 0.5000 1
Fe3 Fe 0.1623 0.3247 0.2500 1
Fe4 Fe 0.1623 0.8377 0.2500 1
Fe5 Fe 0.3247 0.1623 0.7500 1
Fe6 Fe 0.3333 0.6667 0.1260 1
Fe7 Fe 0.3333 0.6667 0.3740 1
Fe8 Fe 0.5000 0.0000 0.0000 1
Fe9 Fe 0.5000 0.0000 0.5000 1
Fe10 Fe 0.5000 0.5000 0.0000 1
Fe11 Fe 0.5000 0.5000 0.5000 1
Fe12 Fe 0.6667 0.3333 0.6260 1
Fe13 Fe 0.6667 0.3333 0.8740 1
Fe14 Fe 0.6753 0.8377 0.2500 1
Fe15 Fe 0.8377 0.1623 0.7500 1
Fe16 Fe 0.8377 0.6753 0.7500 1
Rh1 Rh 0.0000 0.0000 0.0942 1
Rh2 Rh 0.0000 0.0000 0.4058 1
Rh3 Rh 0.0000 0.0000 0.5942 1
Rh4 Rh 0.0000 0.0000 0.9058 1
Rh5 Rh 0.3333 0.6667 0.6563 1
Rh6 Rh 0.3333 0.6667 0.8437 1
Rh7 Rh 0.6667 0.3333 0.1563 1
Rh8 Rh 0.6667 0.3333 0.3437 1
# N(E_F) (states/eV/f.u.): 3.1
# DFT formation energy (meV/atom): 27

# meta-GGA SCAN FeCoW, single point on PBEsol structure
data_FeCoW
_cell_length_a 4.0821
_cell_length_b 4.0821
_cell_length_c 2.5536
_cell_angle_alpha 90.00
_cell_angle_beta 90.00
_cell_angle_gamma 120.00
_space_group_name_H-M_alt 'P 1'
_space_group_IT_number 1
loop_
_space_group_symop_operation_xyz
'x,y,z'
loop_
_atom_site_label
_atom_site_type_symbol
_atom_site_fract_x
_atom_site_fract_y
_atom_site_fract_z
_atom_site_occupancy
Fe1 Fe 0.0000 0.0000 0.0000 1
Co1 Co 0.6667 0.3333 0.2239 1
W1 W 0.3333 0.6667 0.6329 1
# Offset from the most stable computed form (meV per atom): 0
# N(E_F) (states/eV/f.u.): 2.4
# DFT formation energy (meV/atom): 152

# meta-GGA SCAN KLa2Re, single point on PBEsol structure
data_KLa2Re
_cell_length_a 5.4413
_cell_length_b 5.4413
_cell_length_c 5.4413
_cell_angle_alpha 129.99
_cell_angle_beta 113.61
_cell_angle_gamma 87.53
_space_group_name_H-M_alt 'P 1'
_space_group_IT_number 1
loop_
_space_group_symop_operation_xyz
'x,y,z'
loop_
_atom_site_label
_atom_site_type_symbol
_atom_site_fract_x
_atom_site_fract_y
_atom_site_fract_z
_atom_site_occupancy
K1 K 0.0000 0.0000 0.0000 1
La1 La 0.2844 0.7844 0.5000 1
La2 La 0.7156 0.2156 0.5000 1
Re1 Re 0.5000 0.5000 0.0000 1
# Offset from the most stable computed form (meV per atom): 0
# N(E_F) (states/eV/f.u.): 1.7
# DFT formation energy (meV/atom): 522

# meta-GGA SCAN NbRhSeBr2, single point on PBEsol structure
data_NbRhSeBr2
_cell_length_a 5.0414
_cell_length_b 5.0414
_cell_length_c 4.9667
_cell_angle_alpha 90.00
_cell_angle_beta 90.00
_cell_angle_gamma 90.00
_space_group_name_H-M_alt 'P 1'
_space_group_IT_number 1
loop_
_space_group_symop_operation_xyz
'x,y,z'
loop_
_atom_site_label
_atom_site_type_symbol
_atom_site_fract_x
_atom_site_fract_y
_atom_site_fract_z
_atom_site_occupancy
Nb1 Nb 0.0000 0.0000 0.0000 1
Rh1 Rh 0.5000 0.5000 0.5000 1
Se1 Se 0.0000 0.0000 0.5000 1
Br1 Br 0.0000 0.5000 0.0000 1
Br2 Br 0.5000 0.0000 0.0000 1
# N(E_F) (states/eV/f.u.): 3.3
# Formation energy without anion corrections (meV/atom): 349

# meta-GGA SCAN InSb2Se, single point on PBEsol structure
data_InSb2Se
_cell_length_a 5.1520
_cell_length_b 5.1520
_cell_length_c 5.1520
_cell_angle_alpha 109.90
_cell_angle_beta 109.90
_cell_angle_gamma 108.62
_space_group_name_H-M_alt 'P 1'
_space_group_IT_number 1
loop_
_space_group_symop_operation_xyz
'x,y,z'
loop_
_atom_site_label
_atom_site_type_symbol
_atom_site_fract_x
_atom_site_fract_y
_atom_site_fract_z
_atom_site_occupancy
In1 In 0.0000 0.0000 0.0000 1
Sb1 Sb 0.0000 0.5000 0.5000 1
Sb2 Sb 0.5000 0.0000 0.5000 1
Se1 Se 0.5000 0.5000 0.0000 1
# Offset from the most stable computed form (meV per atom): 0
# N(E_F) (states/eV/f.u.): 1.6
# Formation energy without anion corrections (meV/atom): -124

Question: Which of these has the lowest N(E_F)?
Answer: InSb2Se